{"formula": "ScBeTl2", "functional": "GGA-PBE", "state": "relaxed", "lattice": [[-2.4896, 1.6033, 1.8797], [0.7964, -2.8378, 1.9013], [5.0277, 3.7369, 3.4716]], "species": ["Be", "Tl", "Tl", "Sc"], "frac_coords": [[0.5000, 0.5000, 0.2500], [0.0000, 0.0000, 0.4673], [0.0000, 0.0000, 0.0327], [0.5000, 0.5000, 0.7500]], "magnetic_moment_mub_per_cell": 0.00, "total_energy_ev_per_atom": -3.45}



{"formula": "ScBe2Tl", "functional": "GGA-PBE", "state": "relaxed", "lattice": [[4.5357, 0.0000, 0.0000], [2.2679, 3.9280, 0.0000], [2.2679, 1.3093, 3.7034]], "species": ["Sc", "Be", "Be", "Tl"], "frac_coords": [[0.5000, 0.5000, 0.5000], [0.2500, 0.2500, 0.2500], [0.0000, 0.0000, 0.0000], [0.7500, 0.7500, 0.7500]], "magnetic_moment_mub_per_cell": 0.00, "total_energy_ev_per_atom": -3.66, "e_above_lowest_polymorph_mev_per_atom": 316}



{"formula": "ScBeTl2", "functional": "GGA-PBE", "state": "relaxed", "lattice": [[3.3796, 0.0000, 0.0000], [0.0000, 3.3796, 0.0000], [0.0000, 0.0000, 7.2870]], "species": ["Sc", "Be", "Tl", "Tl"], "frac_coords": [[0.5000, 0.5000, 0.7500], [0.5000, 0.5000, 0.2500], [0.0000, 0.0000, 0.0308], [0.0000, 0.0000, 0.4692]], "magnetic_moment_mub_per_cell": 0.74, "total_energy_ev_per_atom": -3.43}



{"formula": "ScBe2Tl", "functional": "GGA-PBE", "state": "relaxed", "lattice": [[3.0334, 0.0366, 0.0000], [-0.0415, 3.0333, 0.0000], [0.0000, 0.0000, 7.0657]], "species": ["Sc", "Tl", "Be", "Be"], "frac_coords": [[0.0000, 0.0000, 0.4470], [0.5000, 0.5000, 0.7895], [0.5000, 0.5000, 0.1944], [0.0000, 0.0000, 0.0691]], "magnetic_moment_mub_per_cell": 0.37, "total_energy_ev_per_atom": -3.80, "e_above_lowest_polymorph_mev_per_atom": 174}



{"formula": "ScBeTl2", "functional": "GGA-PBE", "state": "relaxed", "lattice": [[5.6162, 0.0017, 0.0000], [2.4053, 5.0751, 0.0000], [-4.0108, -2.5384, 3.0020]], "species": ["Sc", "Be", "Tl", "Tl"], "frac_coords": [[0.7500, 0.2500, 0.5000], [0.5000, 0.5000, 0.0000], [0.2500, 0.7500, 0.5000], [0.0000, 0.0000, 0.0000]], "magnetic_moment_mub_per_cell": 0.00, "total_energy_ev_per_atom": -3.45}



{"formula": "ScBe2Tl", "functional": "GGA-PBE", "state": "relaxed", "lattice": [[3.2537, -0.0496, 0.0000], [-0.3973, 3.2297, 0.0000], [0.0000, 0.0000, 6.4778]], "species": ["Be", "Be", "Tl", "Sc"], "frac_coords": [[0.0000, 0.0000, 0.9908], [0.0000, 0.0000, 0.5092], [0.5000, 0.5000, 0.7500], [0.5000, 0.5000, 0.2500]], "magnetic_moment_mub_per_cell": 0.00, "total_energy_ev_per_atom": -3.65, "e_above_lowest_polymorph_mev_per_atom": 331}



{"formula": "Sc2BeTl2", "functional": "GGA-PBE", "state": "relaxed", "lattice": [[7.0405, 0.0000, 0.0000], [0.0000, 7.0405, 0.0000], [0.0000, 0.0000, 4.6450]], "species": ["Tl", "Tl", "Tl", "Tl", "Sc", "Sc", "Sc", "Sc", "Be", "Be"], "frac_coords": [[0.8405, 0.3405, 0.5000], [0.1595, 0.6595, 0.5000], [0.3405, 0.1595, 0.5000], [0.6595, 0.8405, 0.5000], [0.8432, 0.6568, 0.0000], [0.1568, 0.3432, 0.0000], [0.6568, 0.1568, 0.0000], [0.3432, 0.8432, 0.0000], [0.5000, 0.5000, 0.0000], [0.0000, 0.0000, 0.0000]], "magnetic_moment_mub_per_cell": 0.00, "total_energy_ev_per_atom": -4.06, "e_above_lowest_polymorph_mev_per_atom": 152}



{"formula": "ScBe2Tl", "functional": "GGA-PBE", "state": "relaxed", "lattice": [[-5.0405, 4.0495, 5.4079], [-6.5214, 1.1534, 5.2145], [-4.0086, 1.5659, 7.2477]], "species": ["Be", "Be", "Sc", "Tl"], "frac_coords": [[0.5006, 0.5006, 0.5006], [0.9994, 0.9994, 0.9994], [0.2500, 0.2500, 0.2500], [0.7500, 0.7500, 0.7500]], "magnetic_moment_mub_per_cell": 0.00, "total_energy_ev_per_atom": -3.42, "e_above_lowest_polymorph_mev_per_atom": 553}



{"formula": "ScBeTl2", "functional": "GGA-PBE", "state": "relaxed", "lattice": [[0.0000, 3.4957, 3.4957], [3.4957, 0.0000, 3.4957], [3.4957, 3.4957, 0.0000]], "species": ["Tl", "Tl", "Sc", "Be"], "frac_coords": [[0.7500, 0.7500, 0.7500], [0.2500, 0.2500, 0.2500], [0.5000, 0.5000, 0.5000], [0.0000, 0.0000, 0.0000]], "magnetic_moment_mub_per_cell": 0.00, "total_energy_ev_per_atom": -3.38}



{"formula": "ScBe4Tl", "functional": "GGA-PBE", "state": "relaxed", "lattice": [[0.0000, 3.4322, 3.4322], [3.4322, 0.0000, 3.4322], [3.4322, 3.4322, 0.0000]], "species": ["Tl", "Be", "Be", "Be", "Be", "Sc"], "frac_coords": [[0.0000, 0.0000, 0.0000], [0.3849, 0.3849, 0.3849], [0.3849, 0.8452, 0.3849], [0.3849, 0.3849, 0.8452], [0.8452, 0.3849, 0.3849], [0.7500, 0.7500, 0.7500]], "magnetic_moment_mub_per_cell": 0.00, "total_energy_ev_per_atom": -3.67}



{"formula": "ScBeTl3", "functional": "GGA-PBE", "state": "relaxed", "lattice": [[5.6926, 0.0000, 0.0000], [0.0000, 5.6926, 0.0000], [0.0000, 0.0000, 5.6926]], "species": ["Sc", "Tl", "Tl", "Tl", "Be"], "frac_coords": [[0.0000, 0.0000, 0.0000], [0.0000, 0.5000, 0.0000], [0.0000, 0.0000, 0.5000], [0.5000, 0.0000, 0.0000], [0.5000, 0.5000, 0.5000]], "magnetic_moment_mub_per_cell": 0.00, "total_energy_ev_per_atom": -2.47, "e_above_lowest_polymorph_mev_per_atom": 583}



{"formula": "Sc4BeTl", "functional": "GGA-PBE", "state": "relaxed", "lattice": [[-0.8859, -3.6283, 4.4186], [-4.5332, 0.7702, 3.5114], [-4.4371, -3.7099, -0.1482]], "species": ["Sc", "Sc", "Sc", "Sc", "Be", "Tl"], "frac_coords": [[0.8760, 0.3747, 0.3747], [0.3747, 0.3747, 0.3747], [0.3747, 0.3747, 0.8760], [0.3747, 0.8760, 0.3747], [0.0000, 0.0000, 0.0000], [0.7500, 0.7500, 0.7500]], "magnetic_moment_mub_per_cell": 0.00, "total_energy_ev_per_atom": -4.74}